Density functional theory data (PBE) for a relaxed TaReAsO crystal.

## Properties
Its total moment is 0.0 μB/f.u. The total DFT energy (no corrections) comes out at -67.2 eV per cell.

```
TaReAsO
1.0
3.870 0.000 0.000
0.000 3.870 0.000
0.000 0.000 7.280
Ta Re As O
2 2 2 2
direct
0.250 0.750 0.000 Ta
0.750 0.250 0.000 Ta
0.250 0.250 0.331 Re
0.750 0.750 0.669 Re
0.250 0.250 0.739 As
0.750 0.750 0.261 As
0.250 0.750 0.500 O
0.750 0.250 0.500 O
```



Density functional theory data (PBE) for a relaxed PmB4Mo crystal.

## Properties
Its total moment is 0.0 μB/f.u. The total DFT energy (no corrections) comes out at -44.0 eV per cell.

```
PmB4Mo
1.0
-1.595 2.754 3.651
1.595 -2.754 3.651
1.595 2.754 -3.651
Pm B Mo
1 4 1
direct
0.000 0.000 0.000 Pm
0.094 0.755 0.339 B
0.417 0.755 0.661 B
0.583 0.245 0.339 B
0.906 0.245 0.661 B
0.500 0.500 0.000 Mo
```



Density functional theory data (PBE) for a relaxed LiCuSn crystal.

## Properties
The total DFT energy (no corrections) comes out at -30.7 eV per cell.

```
LiCuSn
1.0
7.519 0.000 0.000
-3.759 6.511 0.000
0.000 0.000 3.122
Li Cu Sn
3 3 3
direct
0.000 0.629 0.000 Li
0.371 0.371 0.000 Li
0.629 0.000 0.000 Li
0.000 0.000 0.000 Cu
0.333 0.667 0.500 Cu
0.667 0.333 0.500 Cu
0.000 0.298 0.500 Sn
0.298 0.000 0.500 Sn
0.702 0.702 0.500 Sn
```



Density functional theory data (PBE) for a relaxed OsPdO3 crystal.

## Properties
Its total moment is 0.0 μB/f.u. The total DFT energy (no corrections) comes out at -32.6 eV per cell.

```
OsPdO3
1.0
3.839 0.000 0.000
0.000 3.839 0.000
0.000 0.000 3.852
Os Pd O
1 1 3
direct
0.000 0.000 0.000 Os
0.500 0.500 0.495 Pd
0.000 0.000 0.500 O
0.000 0.500 0.999 O
0.500 0.000 0.999 O
```



Density functional theory data (PBE) for a relaxed TaNbAsC crystal.

## Properties
Its total moment is 0.0 μB/f.u. The total DFT energy (no corrections) comes out at -76.5 eV per cell.

```
TaNbAsC
1.0
3.340 0.000 0.000
-1.670 2.893 0.000
0.000 0.000 11.988
Ta Nb As C
2 2 2 2
direct
0.000 0.000 0.156 Ta
0.000 0.000 0.844 Ta
0.333 0.667 0.344 Nb
0.333 0.667 0.656 Nb
0.000 0.000 0.500 As
0.333 0.667 0.000 As
0.667 0.333 0.247 C
0.667 0.333 0.753 C
```



Density functional theory data (PBE) for a relaxed LuMg2 crystal.

## Properties
Its total moment is 0.0 μB/f.u. The total DFT energy (no corrections) comes out at -30.1 eV per cell.

```
LuMg2
1.0
5.301 0.000 0.000
0.000 10.230 0.000
0.000 0.000 5.630
Lu Mg
4 8
direct
0.250 0.086 0.089 Lu
0.250 0.414 0.089 Lu
0.750 0.586 0.911 Lu
0.750 0.914 0.911 Lu
0.250 0.250 0.598 Mg
0.250 0.590 0.575 Mg
0.250 0.750 0.074 Mg
0.250 0.910 0.575 Mg
0.750 0.090 0.425 Mg
0.750 0.250 0.926 Mg
0.750 0.410 0.425 Mg
0.750 0.750 0.402 Mg
```



Density functional theory data (PBE) for a relaxed LiTeIrO crystal.

## Properties
Its total moment is 0.0 μB/f.u. The total DFT energy (no corrections) comes out at -43.6 eV per cell.

```
LiTeIrO
1.0
5.709 0.000 0.000
0.000 3.754 0.000
0.000 0.000 6.251
Li Te Ir O
2 2 2 2
direct
0.250 0.000 0.193 Li
0.750 0.000 0.807 Li
0.250 0.000 0.719 Te
0.750 0.000 0.281 Te
0.000 0.500 0.500 Ir
0.500 0.500 0.500 Ir
0.250 0.500 0.255 O
0.750 0.500 0.745 O
```



Density functional theory data (PBE) for a relaxed SmSbAsO crystal.

## Properties
Its total moment is 0.0 μB/f.u. The total DFT energy (no corrections) comes out at -46.5 eV per cell.

```
SmSbAsO
1.0
4.091 0.000 0.000
0.000 8.125 0.000
0.000 0.000 6.097
Sm Sb As O
2 2 2 2
direct
0.000 0.190 0.000 Sm
0.000 0.810 0.500 Sm
0.500 0.387 0.585 Sb
0.500 0.613 0.085 Sb
0.000 0.172 0.488 As
0.000 0.828 0.988 As
0.500 0.256 0.894 O
0.500 0.744 0.394 O
```



Density functional theory data (PBE) for a relaxed CsRbPdSe3 crystal.

## Properties
The total DFT energy (no corrections) comes out at -41.9 eV per cell.

```
CsRbPdSe3
1.0
7.026 0.000 0.000
3.328 6.832 0.000
3.455 1.904 8.897
Cs Rb Pd Se
2 2 2 6
direct
0.172 0.452 0.176 Cs
0.828 0.548 0.824 Cs
0.407 0.808 0.370 Rb
0.593 0.192 0.630 Rb
0.104 0.955 0.850 Pd
0.896 0.045 0.150 Pd
0.130 0.151 0.598 Se
0.271 0.016 0.003 Se
0.314 0.653 0.754 Se
0.686 0.347 0.246 Se
0.729 0.984 0.997 Se
0.870 0.849 0.402 Se
```



Density functional theory data (PBE) for a relaxed LaTbAsO crystal.

## Properties
Its total moment is 0.0 μB/f.u. The total DFT energy (no corrections) comes out at -54.4 eV per cell.

```
LaTbAsO
1.0
4.377 0.000 0.000
0.000 7.660 0.000
0.000 0.000 6.240
La Tb As O
2 2 2 2
direct
0.000 0.205 0.000 La
0.000 0.795 0.500 La
0.500 0.392 0.580 Tb
0.500 0.608 0.080 Tb
0.000 0.181 0.492 As
0.000 0.819 0.992 As
0.500 0.339 0.933 O
0.500 0.661 0.433 O
```



Density functional theory data (PBE) for a relaxed GdLuAl crystal.

## Properties
Its total moment is 0.1 μB/f.u. The total DFT energy (no corrections) comes out at -11.4 eV per cell.

```
GdLuAl
1.0
0.000 3.556 3.556
3.556 0.000 3.556
3.556 3.556 0.000
Gd Lu Al
1 1 1
direct
0.000 0.000 0.000 Gd
0.750 0.750 0.750 Lu
0.500 0.500 0.500 Al
```



Density functional theory data (PBE) for a relaxed K3AuO2 crystal.

## Properties
The total DFT energy (no corrections) comes out at -45.1 eV per cell.

```
K3AuO2
1.0
3.904 2.254 5.086
-3.904 2.254 5.086
0.000 -4.508 5.086
K Au O
6 2 4
direct
0.009 0.750 0.491 K
0.250 0.509 0.991 K
0.491 0.009 0.750 K
0.509 0.991 0.250 K
0.750 0.491 0.009 K
0.991 0.250 0.509 K
0.000 0.000 0.000 Au
0.500 0.500 0.500 Au
0.133 0.133 0.133 O
0.367 0.367 0.367 O
0.633 0.633 0.633 O
0.867 0.867 0.867 O
```